#a
Computed, not measured: a relaxed TcMoAs2 crystal at the GGA-PBEsol level of DFT.

Output
As for the space group: P2/m, No. 10.

Cell and atoms, written as POSCAR:
```
TcMoAs2
1.0
-0.813 -1.540 2.399
1.657 -3.203 -1.494
4.663 1.401 2.168
Mo As Tc
1 2 1
Cartesian
0.422 -2.372 0.452 Mo
1.007 0.118 0.863 As
2.843 -0.257 3.703 As
3.160 -0.901 0.337 Tc
```

=====

#b
Computed, not measured: a relaxed TcMoAs2 crystal at the GGA-PBEsol level of DFT.

Output
As for the space group: C2/m, No. 12.

Cell and atoms, written as POSCAR:
```
TcMoAs2
1.0
-2.832 0.798 0.138
0.006 -4.940 0.182
2.037 1.567 4.222
As Mo Tc
2 1 1
Cartesian
1.019 0.784 2.111 As
0.003 -2.470 0.091 As
-1.416 0.399 0.069 Mo
-0.394 -1.287 2.271 Tc
```

=====

#c
Computed, not measured: a relaxed TcMoAs2 crystal at the GGA-PBEsol level of DFT.

Output
As for the space group: F-43m, No. 216.

Cell and atoms, written as POSCAR:
```
TcMoAs2
1.0
4.414 0.000 0.000
2.207 3.823 0.000
2.207 1.274 3.604
Tc As Mo
1 2 1
Cartesian
2.207 1.274 0.901 Tc
0.000 0.000 0.000 As
6.621 3.823 2.703 As
4.414 2.549 1.802 Mo
```

=====

Of them, #c has the lowest stability.

=====

#a
Computed, not measured: a relaxed TcMoAs2 crystal at the GGA-PBEsol level of DFT.

Output
As for the space group: Pmmm, No. 47.

Cell and atoms, written as POSCAR:
```
TcMoAs2
1.0
3.065 0.000 0.000
0.000 3.967 0.000
0.000 0.000 5.074
As Mo Tc
2 1 1
Cartesian
0.000 0.000 0.000 As
1.533 0.000 2.537 As
1.533 1.984 0.000 Mo
0.000 1.984 2.537 Tc
```

=====

#b
Computed, not measured: a relaxed TcMoAs2 crystal at the GGA-PBEsol level of DFT.

Output
As for the space group: Cmm2, No. 35.

Cell and atoms, written as POSCAR:
```
TcMoAs2
1.0
2.774 0.005 0.000
-1.033 2.575 0.000
0.000 0.000 9.344
Mo As Tc
1 2 1
Cartesian
0.000 0.000 4.552 Mo
0.000 0.000 0.419 As
0.871 1.290 6.638 As
0.871 1.290 2.407 Tc
```

=====

Of them, #a has the lowest stability.

=====

#a
Computed, not measured: a relaxed TiMoAs2 crystal at the GGA-PBEsol level of DFT.

Output
As for the space group: Pmc2_1, No. 26.

Cell and atoms, written as POSCAR:
```
TiMoAs2
1.0
-0.458 -1.080 -3.124
5.666 1.546 -1.366
2.016 -5.859 1.730
Mo As Ti
2 4 2
Cartesian
1.707 -6.022 0.050 Mo
2.775 -0.119 -2.148 Mo
4.925 0.196 -0.790 As
1.492 -2.090 -1.278 As
5.070 -3.484 -1.321 As
3.386 -4.338 1.003 As
6.777 -1.779 -0.379 Ti
3.678 -1.777 0.075 Ti
```

=====

#b
Computed, not measured: a relaxed TiMoAs2 crystal at the GGA-PBEsol level of DFT.

Output
As for the space group: Fm-3m, No. 225.

Cell and atoms, written as POSCAR:
```
TiMoAs2
1.0
-2.337 -3.377 -1.582
-0.247 -3.761 2.272
-3.780 -1.158 1.935
Ti As Mo
1 2 1
Cartesian
0.000 0.000 0.000 Ti
-1.591 -2.074 0.656 As
-4.773 -6.223 1.968 As
-3.182 -4.148 1.312 Mo
```

=====

Of them, #b has the lowest stability.

=====

#a
Computed, not measured: a relaxed TlMoAs2 crystal at the GGA-PBEsol level of DFT.

Output
As for the space group: P4mm, No. 99.

Cell and atoms, written as POSCAR:
```
TlMoAs2
1.0
-2.585 -1.796 -0.946
1.990 -2.545 -0.604
-0.889 -2.309 6.809
Tl Mo As
1 1 2
Cartesian
-0.938 -3.834 4.131 Tl
-0.380 -0.987 2.911 Mo
-0.057 -0.147 0.433 As
-0.554 -2.837 1.189 As
```

=====

#b
Computed, not measured: a relaxed TlMoAs2 crystal at the GGA-PBEsol level of DFT.

Output
As for the space group: P4/mmm, No. 123.

Cell and atoms, written as POSCAR:
```
TlMoAs2
1.0
3.152 0.000 0.000
0.000 3.152 0.017
0.000 -0.042 7.811
Tl As Mo
1 2 1
Cartesian
1.576 1.576 0.008 Tl
0.000 -0.028 5.349 As
0.000 3.138 2.480 As
1.576 1.555 3.914 Mo
```

=====

#c
Computed, not measured: a relaxed TlMoAs2 crystal at the GGA-PBEsol level of DFT.

Output
As for the space group: Cmmm, No. 65.

Cell and atoms, written as POSCAR:
```
TlMoAs2
1.0
-0.521 -2.040 -2.667
-2.871 -2.697 2.623
-2.805 3.272 -1.955
As Mo Tl
2 1 1
Cartesian
-1.403 1.636 -0.977 As
-1.436 -1.348 1.312 As
-0.260 -1.020 -1.333 Mo
-3.099 -0.732 -0.999 Tl
```

=====

Of them, #c has the lowest stability.

=====

#a
Computed, not measured: a relaxed TlMoAs2 crystal at the GGA-PBEsol level of DFT.

Output
As for the space group: P4/mmm, No. 123.

Cell and atoms, written as POSCAR:
```
TlMoAs2
1.0
4.068 0.000 0.000
0.000 4.068 0.000
0.000 0.000 4.651
Mo Tl As
1 1 2
Cartesian
2.034 2.034 2.326 Mo
0.000 0.000 2.326 Tl
2.034 0.000 0.000 As
0.000 2.034 0.000 As
```

=====

#b
Computed, not measured: a relaxed TlMoAs2 crystal at the GGA-PBEsol level of DFT.

Output
As for the space group: Amm2, No. 38.

Cell and atoms, written as POSCAR:
```
TlMoAs2
1.0
3.526 0.000 -0.146
0.000 4.517 0.000
-1.567 0.000 4.822
As Mo Tl
2 1 1
Cartesian
1.588 2.259 1.056 As
3.321 0.000 0.258 As
1.639 0.000 2.272 Mo
-0.085 2.259 3.282 Tl
```

=====

Of them, #a has the lowest stability.

=====

#a
Computed, not measured: a relaxed AsOsSe2N crystal at the GGA-PBEsol level of DFT.

Output
As for the space group: P4/mmm, No. 123.

Cell and atoms, written as POSCAR:
```
AsOsSe2N
1.0
3.651 0.000 0.000
0.000 4.997 0.000
0.000 0.000 4.997
As N Se Os
1 1 2 1
Cartesian
1.825 2.499 2.499 As
1.825 0.000 0.000 N
0.000 0.000 2.499 Se
0.000 2.499 0.000 Se
0.000 0.000 0.000 Os
```

=====

#b
Computed, not measured: a relaxed AsOsSe2N crystal at the GGA-PBEsol level of DFT.

Output
As for the space group: P4/mmm, No. 123.

Cell and atoms, written as POSCAR:
```
AsOsSe2N
1.0
-0.014 2.239 3.573
3.160 -2.285 1.444
2.703 2.682 -1.670
N Os Se As
1 1 2 1
Cartesian
0.000 0.000 0.000 N
2.924 1.318 1.674 Os
1.580 -1.143 0.722 Se
1.352 1.341 -0.835 Se
-0.007 1.119 1.787 As
```

=====

Of them, #b has the lowest stability.